(1)
The following is a DFT calculation (PBE-GGA) of a relaxed LiLaPaSe4 crystal.

a b c (Å): 7.9587 7.9587 7.9587
angles (deg): 110.72 106.38 111.36
Fractional coordinates of all 14 atoms:
Li: 0.0000 0.0000 0.0000
Li: 0.5000 0.0000 0.5000
La: 0.4030 0.6530 0.7500
La: 0.5970 0.3470 0.2500
Pa: 0.0000 0.0000 0.5000
Pa: 0.0000 0.5000 0.0000
Se: 0.1348 0.6999 0.4349
Se: 0.2350 0.3001 0.9349
Se: 0.3044 0.2418 0.4373
Se: 0.3044 0.8671 0.0627
Se: 0.6956 0.1329 0.9373
Se: 0.6956 0.7582 0.5627
Se: 0.7650 0.6999 0.0651
Se: 0.8652 0.3001 0.5651

Calculated values
As for the space group: Imma (74). The calculation puts the density of states at the Fermi level at 0.6943 states/eV/atom. The calculation puts the raw formation energy at -1.5368 eV per atom.

(2)
The following is a DFT calculation (PBE-GGA) of a relaxed LiLa2PaSe6 crystal.

a b c (Å): 6.9336 6.9336 6.3346
angles (deg): 90.00 90.00 90.00
Fractional coordinates of all 10 atoms:
Li: 0.0000 0.0000 0.0000
La: 0.0000 0.5000 0.4568
La: 0.5000 0.0000 0.4568
Pa: 0.5000 0.5000 0.0608
Se: 0.0000 0.0000 0.6159
Se: 0.2388 0.2388 0.1790
Se: 0.2388 0.7612 0.1790
Se: 0.5000 0.5000 0.6162
Se: 0.7612 0.2388 0.1790
Se: 0.7612 0.7612 0.1790

Calculated values
As for the space group: P4mm (99). The calculation puts the raw formation energy at -1.4072 eV per atom.

(3)
The following is a DFT calculation (PBE-GGA) of a relaxed Li3La3PaSe8 crystal.

a b c (Å): 8.1338 8.1338 8.1338
angles (deg): 64.04 64.04 64.04
Fractional coordinates of all 15 atoms:
Li: 0.0000 0.5000 0.5000
Li: 0.5000 0.0000 0.5000
Li: 0.5000 0.5000 0.0000
La: 0.0000 0.0000 0.5000
La: 0.0000 0.5000 0.0000
La: 0.5000 0.0000 0.0000
Pa: 0.5000 0.5000 0.5000
Se: 0.2531 0.2531 0.2531
Se: 0.2582 0.2582 0.7325
Se: 0.2582 0.7325 0.2582
Se: 0.2675 0.7418 0.7418
Se: 0.7325 0.2582 0.2582
Se: 0.7418 0.2675 0.7418
Se: 0.7418 0.7418 0.2675
Se: 0.7469 0.7469 0.7469

Calculated values
As for the space group: R-3m (166). The calculation puts the density of states at the Fermi level at 0.2677 states/eV/atom. The calculation puts the raw formation energy at -1.6488 eV per atom.

(4)
The following is a DFT calculation (PBE-GGA) of a relaxed LiLa3Pa3Se8 crystal.

a b c (Å): 8.4501 8.4501 8.4501
angles (deg): 58.29 58.29 58.29
Fractional coordinates of all 15 atoms:
Li: 0.0000 0.0000 0.0000
La: 0.0000 0.0000 0.5000
La: 0.0000 0.5000 0.0000
La: 0.5000 0.0000 0.0000
Pa: 0.0000 0.5000 0.5000
Pa: 0.5000 0.0000 0.5000
Pa: 0.5000 0.5000 0.0000
Se: 0.2448 0.2448 0.7441
Se: 0.2448 0.7441 0.2448
Se: 0.2539 0.2539 0.2539
Se: 0.2559 0.7552 0.7552
Se: 0.7441 0.2448 0.2448
Se: 0.7461 0.7461 0.7461
Se: 0.7552 0.2559 0.7552
Se: 0.7552 0.7552 0.2559

Calculated values
As for the space group: R-3m (166). The calculation puts the density of states at the Fermi level at 1.0148 states/eV/atom. The calculation puts the raw formation energy at -1.5745 eV per atom.

(5)
The following is a DFT calculation (PBE-GGA) of a relaxed Li3La2PaSe6 crystal.

a b c (Å): 7.3020 7.3020 6.9619
angles (deg): 100.01 100.01 120.09
Fractional coordinates of all 12 atoms:
Li: 0.0000 0.0000 0.0000
Li: 0.3401 0.6599 0.0000
Li: 0.6599 0.3401 0.0000
La: 0.1678 0.8322 0.5000
La: 0.8322 0.1678 0.5000
Pa: 0.5000 0.5000 0.5000
Se: 0.0931 0.4116 0.2353
Se: 0.2658 0.2658 0.7588
Se: 0.4116 0.0931 0.2353
Se: 0.5884 0.9069 0.7647
Se: 0.7342 0.7342 0.2412
Se: 0.9069 0.5884 0.7647

Calculated values
As for the space group: C2/m (12). The calculation puts the density of states at the Fermi level at 0.5923 states/eV/atom. The calculation puts the raw formation energy at -1.5518 eV per atom.

(6)
The following is a DFT calculation (PBE-GGA) of a relaxed Li2LaPaTe4 crystal.

a b c (Å): 7.5881 4.3684 7.6883
angles (deg): 90.00 109.39 90.00
Fractional coordinates of all 8 atoms:
Li: 0.0000 0.0000 0.0000
Li: 0.0000 0.5000 0.5000
La: 0.5000 0.0000 0.5000
Pa: 0.5000 0.5000 0.0000
Te: 0.2334 0.5000 0.2335
Te: 0.2364 0.0000 0.7534
Te: 0.7636 0.0000 0.2466
Te: 0.7666 0.5000 0.7665

Calculated values
As for the space group: P2/m (10). The calculation puts the density of states at the Fermi level at 0.9446 states/eV/atom. The calculation puts the raw formation energy at -1.0822 eV per atom.

(7)
The following is a DFT calculation (PBE-GGA) of a relaxed LiLa2Pb2 crystal.

a b c (Å): 8.3143 8.3143 8.3143
angles (deg): 131.11 70.56 132.47
Fractional coordinates of all 10 atoms:
Li: 0.2500 0.2500 0.0000
Li: 0.7500 0.7500 0.0000
La: 0.1367 0.7135 0.8503
La: 0.3633 0.2135 0.5768
La: 0.6367 0.7865 0.4232
La: 0.8633 0.2865 0.1497
Pb: 0.1173 0.2299 0.3472
Pb: 0.3827 0.7299 0.1125
Pb: 0.6173 0.2701 0.8875
Pb: 0.8827 0.7701 0.6528

Calculated values
As for the space group: Ibam (72). The calculation puts the density of states at the Fermi level at 0.7426 states/eV/atom. Its formation energy is -2.46 eV per formula unit. The value obtained for the energy relative to the lowest polymorph listed for this composition is 23.2 meV per atom.

(8)
The following is a DFT calculation (PBE-GGA) of a relaxed Li2LaPb crystal.

a b c (Å): 5.9097 5.9097 5.9097
angles (deg): 48.26 48.26 48.26
Fractional coordinates of all 4 atoms:
Li: 0.0000 0.0000 0.0000
Li: 0.2829 0.2829 0.2829
La: 0.7958 0.7958 0.7958
Pb: 0.5798 0.5798 0.5798

Calculated values
As for the space group: R3m (160). The calculation puts the density of states at the Fermi level at 0.3810 states/eV/atom. Its formation energy is -1.23 eV per formula unit.

(9)
The following is a DFT calculation (PBE-GGA) of a relaxed LiLa2Pb crystal.

a b c (Å): 5.5242 5.5242 5.5242
angles (deg): 60.00 60.00 60.00
Fractional coordinates of all 4 atoms:
Li: 0.0000 0.0000 0.0000
La: 0.2500 0.2500 0.2500
La: 0.5000 0.5000 0.5000
Pb: 0.7500 0.7500 0.7500

Calculated values
As for the space group: F-43m (216). The calculation puts the density of states at the Fermi level at 1.0112 states/eV/atom. Its formation energy is -0.22 eV per formula unit.

(10)
The following is a DFT calculation (PBE-GGA) of a relaxed Li2LaPb crystal.

a b c (Å): 4.6592 4.6750 4.9918
angles (deg): 90.00 90.00 90.00
Fractional coordinates of all 4 atoms:
Li: 0.0000 0.0000 0.0000
Li: 0.5000 0.5000 0.0000
La: 0.0000 0.5000 0.5000
Pb: 0.5000 0.0000 0.5000

Calculated values
As for the space group: Pmmm (47). The calculation puts the density of states at the Fermi level at 0.8514 states/eV/atom. Its formation energy is -0.93 eV per formula unit.

(11)
The following is a DFT calculation (PBE-GGA) of a relaxed LiLa6Pb crystal.

a b c (Å): 10.2659 10.2659 10.2659
angles (deg): 150.09 150.09 42.80
Fractional coordinates of all 8 atoms:
Li: 0.0000 0.0000 0.0000
La: 0.1152 0.6152 0.5000
La: 0.2481 0.2481 0.0000
La: 0.3848 0.8848 0.5000
La: 0.6152 0.1152 0.5000
La: 0.7519 0.7519 0.0000
La: 0.8848 0.3848 0.5000
Pb: 0.5000 0.5000 0.0000

Calculated values
As for the space group: I4/mmm (139). The calculation puts the density of states at the Fermi level at 1.2216 states/eV/atom. Its formation energy is -1.23 eV per formula unit.

(12)
The following is a DFT calculation (PBE-GGA) of a relaxed LiLaPb6 crystal.

a b c (Å): 4.8887 4.8887 9.8810
angles (deg): 90.00 90.00 90.00
Fractional coordinates of all 8 atoms:
Li: 0.0000 0.0000 0.0000
La: 0.0000 0.0000 0.5000
Pb: 0.0000 0.5000 0.2372
Pb: 0.0000 0.5000 0.7628
Pb: 0.5000 0.0000 0.2372
Pb: 0.5000 0.0000 0.7628
Pb: 0.5000 0.5000 0.0000
Pb: 0.5000 0.5000 0.5000

Calculated values
As for the space group: P4/mmm (123). The calculation puts the density of states at the Fermi level at 0.4524 states/eV/atom. Its formation energy is -2.11 eV per formula unit.

(13)
The following is a DFT calculation (PBE-GGA) of a relaxed Li2LaPb4 crystal.

a b c (Å): 7.5451 7.5451 7.5451
angles (deg): 131.80 131.80 70.55
Fractional coordinates of all 7 atoms:
Li: 0.1349 0.1349 0.0000
Li: 0.8651 0.8651 0.0000
La: 0.5000 0.5000 0.0000
Pb: 0.0000 0.5000 0.5000
Pb: 0.2500 0.7500 0.5000
Pb: 0.5000 0.0000 0.5000
Pb: 0.7500 0.2500 0.5000

Calculated values
As for the space group: I4/mmm (139). The calculation puts the density of states at the Fermi level at 0.8890 states/eV/atom. Its formation energy is 0.27 eV per formula unit.

(14)
The following is a DFT calculation (PBE-GGA) of a relaxed Li2LaPb crystal.

a b c (Å): 3.6384 3.6384 7.8908
angles (deg): 90.00 90.00 90.00
Fractional coordinates of all 4 atoms:
Li: 0.0000 0.0000 0.0000
Li: 0.5000 0.5000 0.1899
La: 0.5000 0.5000 0.6796
Pb: 0.0000 0.0000 0.3868

Calculated values
As for the space group: P4mm (99). The calculation puts the density of states at the Fermi level at 0.6530 states/eV/atom. Its formation energy is -0.84 eV per formula unit.

(15)
The following is a DFT calculation (PBE-GGA) of a relaxed Li2LaPb crystal.

a b c (Å): 5.2837 5.2837 5.2837
angles (deg): 120.17 120.17 89.71
Fractional coordinates of all 4 atoms:
Li: 0.0000 0.0000 0.0000
Li: 0.7500 0.2500 0.5000
La: 0.5000 0.5000 0.0000
Pb: 0.2500 0.7500 0.5000

Calculated values
As for the space group: I-4m2 (119). The calculation puts the density of states at the Fermi level at 0.5997 states/eV/atom. Its formation energy is -1.26 eV per formula unit.

(16)
The following is a DFT calculation (PBE-GGA) of a relaxed LiLa4Pb crystal.

a b c (Å): 6.6016 6.6016 6.6016
angles (deg): 60.00 60.00 60.00
Fractional coordinates of all 6 atoms:
Li: 0.0000 0.0000 0.0000
La: 0.3782 0.3782 0.3782
La: 0.3782 0.3782 0.8653
La: 0.3782 0.8653 0.3782
La: 0.8653 0.3782 0.3782
Pb: 0.7500 0.7500 0.7500

Calculated values
As for the space group: F-43m (216). The calculation puts the density of states at the Fermi level at 1.3622 states/eV/atom. Its formation energy is 0.92 eV per formula unit.

(17)
The following is a DFT calculation (PBE-GGA) of a relaxed Li2LaPb crystal.

a b c (Å): 10.3187 10.3187 10.3187
angles (deg): 19.74 19.74 19.74
Fractional coordinates of all 4 atoms:
Li: 0.0000 0.0000 0.0000
Li: 0.2609 0.2609 0.2609
La: 0.5020 0.5020 0.5020
Pb: 0.7398 0.7398 0.7398

Calculated values
As for the space group: R3m (160). The calculation puts the density of states at the Fermi level at 0.5884 states/eV/atom. Its formation energy is -0.23 eV per formula unit.

(18)
The following is a DFT calculation (PBE-GGA) of a relaxed LiLa2Pb crystal.

a b c (Å): 6.9715 6.9715 6.9715
angles (deg): 101.68 101.68 126.51
Fractional coordinates of all 8 atoms:
Li: 0.0000 0.0000 0.0000
Li: 0.7500 0.2500 0.5000
La: 0.1073 0.6250 0.9823
La: 0.3750 0.3573 0.4823
La: 0.6427 0.1250 0.0177
La: 0.8750 0.8927 0.5177
Pb: 0.2500 0.7500 0.5000
Pb: 0.5000 0.5000 0.0000

Calculated values
As for the space group: I-42d (122). The calculation puts the density of states at the Fermi level at 1.0591 states/eV/atom. Its formation energy is -0.31 eV per formula unit.

(19)
The following is a DFT calculation (PBE-GGA) of a relaxed LiLa2Pb crystal.

a b c (Å): 3.6591 3.6591 9.0067
angles (deg): 90.00 90.00 90.00
Fractional coordinates of all 4 atoms:
Li: 0.0000 0.0000 0.0000
La: 0.0000 0.0000 0.4269
La: 0.5000 0.5000 0.7409
Pb: 0.5000 0.5000 0.1552

Calculated values
As for the space group: P4mm (99). The calculation puts the density of states at the Fermi level at 0.9880 states/eV/atom. Its formation energy is -0.73 eV per formula unit.

(20)
The following is a DFT calculation (PBE-GGA) of a relaxed Li3La2Pb4 crystal.

a b c (Å): 8.9798 8.9798 8.4097
angles (deg): 90.00 90.00 136.42
Fractional coordinates of all 18 atoms:
Li: 0.0000 0.0000 0.0000
Li: 0.0259 0.4741 0.2500
Li: 0.4741 0.0259 0.7500
Li: 0.5000 0.5000 0.5000
Li: 0.5259 0.9741 0.2500
Li: 0.9741 0.5259 0.7500
La: 0.1107 0.8893 0.4087
La: 0.3893 0.6107 0.9087
La: 0.6107 0.3893 0.0913
La: 0.8893 0.1107 0.5913
Pb: 0.1790 0.8210 0.0204
Pb: 0.1983 0.3017 0.2500
Pb: 0.3017 0.1983 0.7500
Pb: 0.3210 0.6790 0.5204
Pb: 0.6790 0.3210 0.4796
Pb: 0.6983 0.8017 0.2500
Pb: 0.8017 0.6983 0.7500
Pb: 0.8210 0.1790 0.9796

Calculated values
As for the space group: Cmce (64). The calculation puts the density of states at the Fermi level at 0.5229 states/eV/atom. Its formation energy is -3.90 eV per formula unit.

(21)
The following is a DFT calculation (PBE-GGA) of a relaxed LiLa2Pb2 crystal.

a b c (Å): 9.5000 9.5000 3.7258
angles (deg): 90.00 90.00 90.00
Fractional coordinates of all 10 atoms:
Li: 0.0000 0.0000 0.0000
Li: 0.5000 0.5000 0.0000
La: 0.1289 0.3711 0.0000
La: 0.3711 0.8711 0.0000
La: 0.6289 0.1289 0.0000
La: 0.8711 0.6289 0.0000
Pb: 0.1722 0.6722 0.5000
Pb: 0.3278 0.1722 0.5000
Pb: 0.6722 0.8278 0.5000
Pb: 0.8278 0.3278 0.5000

Calculated values
As for the space group: P4/mbm (127). The calculation puts the density of states at the Fermi level at 0.9292 states/eV/atom. Its formation energy is -1.57 eV per formula unit. The value obtained for the energy relative to the lowest polymorph listed for this composition is 200.1 meV per atom.

(22)
The following is a DFT calculation (PBE-GGA) of a relaxed Li2LaPb crystal.

a b c (Å): 4.7312 4.7922 4.7922
angles (deg): 72.71 90.00 90.00
Fractional coordinates of all 4 atoms:
Li: 0.0000 0.0000 0.0000
Li: 0.5000 0.2083 0.2083
La: 0.0000 0.5486 0.5486
Pb: 0.5000 0.8422 0.8422

Calculated values
As for the space group: Amm2 (38). The calculation puts the density of states at the Fermi level at 0.7383 states/eV/atom. Its formation energy is -0.64 eV per formula unit.

(23)
The following is a DFT calculation (PBE-GGA) of a relaxed Li2LaPb crystal.

a b c (Å): 3.3544 4.4890 6.8694
angles (deg): 90.00 90.00 90.00
Fractional coordinates of all 4 atoms:
Li: 0.0000 0.0000 0.2033
Li: 0.0000 0.0000 0.7967
La: 0.5000 0.5000 0.5000
Pb: 0.5000 0.5000 0.0000

Calculated values
As for the space group: Pmmm (47). The calculation puts the density of states at the Fermi level at 0.6020 states/eV/atom. Its formation energy is -0.56 eV per formula unit.

(24)
The following is a DFT calculation (PBE-GGA) of a relaxed Li2LaPb2 crystal.

a b c (Å): 7.0282 7.0282 7.0282
angles (deg): 142.38 142.38 54.25
Fractional coordinates of all 5 atoms:
Li: 0.2500 0.7500 0.5000
Li: 0.7500 0.2500 0.5000
La: 0.0000 0.0000 0.0000
Pb: 0.3809 0.3809 0.0000
Pb: 0.6191 0.6191 0.0000

Calculated values
As for the space group: I4/mmm (139). The calculation puts the density of states at the Fermi level at 0.3123 states/eV/atom. Its formation energy is -2.18 eV per formula unit. The value obtained for the energy relative to the lowest polymorph listed for this composition is 0.8 meV per atom.

(25)
The following is a DFT calculation (PBE-GGA) of a relaxed Li2LaPb crystal.

a b c (Å): 10.7828 10.7828 10.7828
angles (deg): 154.86 154.86 35.85
Fractional coordinates of all 8 atoms:
Li: 0.0137 0.6250 0.8887
Li: 0.3750 0.2637 0.3887
Li: 0.7363 0.1250 0.1113
Li: 0.8750 0.9863 0.6113
La: 0.2500 0.7500 0.5000
La: 0.5000 0.5000 0.0000
Pb: 0.0000 0.0000 0.0000
Pb: 0.7500 0.2500 0.5000

Calculated values
As for the space group: I-42d (122). The calculation puts the density of states at the Fermi level at 0.3397 states/eV/atom. Its formation energy is -0.55 eV per formula unit.